(1)
A PBEsol-optimized structure of BaReAg3. Source: Alexandria via LeMat-Bulk, functional SCAN.

a b c (Å): 5.0693 5.0693 5.0693
angles (deg): 90.00 90.00 90.00
Closest atoms and distances in Å follow each position.
Space group Pm-3m (No. 221)
Asymmetric unit:
Ba (0.0000, 0.0000, 0.0000)  12 Ag 3.58
Re (0.5000, 0.5000, 0.5000)  6 Ag 2.53
Ag (0.0000, 0.5000, 0.5000)  2 Re 2.53

Results
- ΔH_f (0 K) (eV per atom) = 0.80
- final energy (eV per atom) = -40.15
- crystal system = cubic

(2)
A PBEsol-optimized structure of Ba2ReAgRh. Source: Alexandria via LeMat-Bulk, functional SCAN.

a b c (Å): 5.9814 5.9814 4.6376
angles (deg): 90.00 90.00 90.00
Closest atoms and distances in Å follow each position.
Space group P4/mmm (No. 123)
Asymmetric unit:
Ba (0.0000, 0.5000, 0.0000)  2 Rh 2.99
Re (0.0000, 0.0000, 0.5000)  2 Rh 2.32
Ag (0.5000, 0.5000, 0.5000)  8 Ba 3.78, 4 Re 4.23
Rh (0.0000, 0.0000, 0.0000)  2 Re 2.32

Results
- ΔH_f (0 K) (eV per atom) = 0.62
- final energy (eV per atom) = -42.44
- crystal system = tetragonal

Question: Which of these has the lowest final energy?
Answer: Ba2ReAgRh

Question: What is the final energy in the second record?
Answer: -42.44 eV per atom